[1]
Material: CeHoInHg
Method: DFT, PBE-GGA
State: relaxed

The space group is F-43m (No. 216) and the conventional cell measures 7.595, 7.595 and 7.595 Å, with angles of 90.00, 90.00 and 90.00 degrees. Symmetry generates all atoms from Ce at (0.000, 0.000, 0.000), Ho at (0.000, 0.000, 0.500), In at (0.250, 0.250, 0.250) and Hg at (0.250, 0.250, 0.750).

Its formation energy is -375 meV per atom. The density of states at the Fermi level is 2.62 states/eV/atom. The calculation puts the volume at 438.2 Å³/cell.

[2]
Material: CePm4Pt5
Method: DFT, PBE-GGA
State: relaxed

The space group is P4/mmm (No. 123) and the conventional cell measures 3.563, 3.563 and 18.123 Å, with angles of 90.00, 90.00 and 90.00 degrees. Symmetry generates all atoms from Ce at (0.000, 0.000, 0.000), Pm at (0.000, 0.000, 0.200), Pm at (0.000, 0.000, 0.400), Pt at (0.500, 0.500, 0.098), Pt at (0.500, 0.500, 0.300) and Pt at (0.500, 0.500, 0.500).

Its formation energy is -1056 meV per atom. The density of states at the Fermi level is 1.17 states/eV/atom. The calculation puts the volume at 230.1 Å³/cell.

[3]
Material: Al2ZnNi
Method: DFT, PBE-GGA
State: relaxed

The space group is I-42d (No. 122) and the conventional cell measures 7.526, 7.526 and 4.811 Å, with angles of 90.00, 90.00 and 90.00 degrees. Symmetry generates all atoms from Al at (0.168, 0.250, 0.125), Zn at (0.000, 0.000, 0.500) and Ni at (0.000, 0.000, 0.000).

Its formation energy is 69 meV per atom. The density of states at the Fermi level is 0.39 states/eV/atom. The calculation puts the volume at 272.5 Å³/cell.

[4]
Material: Th2CBr3
Method: DFT, PBE-GGA
State: relaxed

The space group is C2/m (No. 12) and the conventional cell measures 18.180, 4.177 and 11.684 Å, with angles of 90.00, 122.55 and 90.00 degrees. Symmetry generates all atoms from Th at (0.076, 0.000, 0.458), Th at (0.132, 0.500, 0.778), C at (0.078, 0.000, 0.662), Br at (0.040, 0.500, 0.236), Br at (0.168, 0.000, 0.012) and Br at (0.223, 0.500, 0.619).

The density of states at the Fermi level is 0.06 states/eV/atom. The electronic total energy is -6.15 eV/atom. The calculation puts the volume at 747.8 Å³/cell.

[5]
Material: La2NdPd
Method: DFT, PBE-GGA
State: relaxed

The space group is P4/mmm (No. 123) and the conventional cell measures 3.752, 3.752 and 8.682 Å, with angles of 90.00, 90.00 and 90.00 degrees. Symmetry generates all atoms from La at (0.000, 0.000, 0.202), Nd at (0.500, 0.500, 0.500) and Pd at (0.500, 0.500, 0.000).

Its formation energy is -339 meV per atom. The density of states at the Fermi level is 1.68 states/eV/atom. Its distance to the lowest polymorph of the same formula is 74 meV per atom. The calculation puts the volume at 122.2 Å³/cell.

[6]
Material: LaNd2H8
Method: DFT, PBE-GGA
State: relaxed

The space group is Immm (No. 71) and the conventional cell measures 3.860, 5.481 and 11.591 Å, with angles of 90.00, 90.00 and 90.00 degrees. Symmetry generates all atoms from La at (0.000, 0.000, 0.000), Nd at (0.000, 0.000, 0.330), H at (0.000, 0.222, 0.500), H at (0.000, 0.264, 0.163) and H at (0.000, 0.500, 0.343).

The density of states at the Fermi level is 0.14 states/eV/atom. The electronic total energy is -4.35 eV/atom. The calculation puts the volume at 245.2 Å³/cell.

[7]
Material: Ta4Se8I
Method: DFT, PBE-GGA
State: relaxed

The space group is R-3m (No. 166, hexagonal axes) and the conventional cell measures 6.9474, 6.9474 and 27.6298 Å, with angles of 90.00, 90.00 and 120.00 degrees. Symmetry generates all atoms from Ta at (0.0000, 0.0000, 0.0000), Ta at (0.0000, 0.5000, 0.0000), Se at (0.0000, 0.0000, 0.2727), Se at (0.0018, 0.5009, 0.2728) and I at (0.0000, 0.0000, 0.5000).

The density of states at the Fermi level is 0.66 states/eV/atom. The electronic total energy is -6.62 eV/atom. The calculation puts the volume at 1154.9 Å³/cell.

[8]
Material: K2CaTa
Method: DFT, PBE-GGA
State: relaxed

The space group is Cm (No. 8) and the conventional cell measures 11.170, 3.190 and 8.994 Å, with angles of 90.00, 92.23 and 90.00 degrees. Symmetry generates all atoms from K at (0.000, 0.000, 0.000), K at (0.241, 0.000, 0.661), Ca at (0.258, 0.500, 0.273) and Ta at (0.494, 0.000, 0.395).

Its formation energy is 1089 meV per atom. The density of states at the Fermi level is 1.02 states/eV/atom. Its distance to the lowest polymorph of the same formula is 223 meV per atom. The calculation puts the volume at 320.2 Å³/cell.

[9]
Material: Dy2MnZn12Ni3
Method: DFT, PBE-GGA
State: relaxed

The space group is R-3m (No. 166, hexagonal axes) and the conventional cell measures 8.6113, 8.6113 and 16.6385 Å, with angles of 90.00, 90.00 and 120.00 degrees. Symmetry generates all atoms from Dy at (0.0000, 0.0000, 0.0982), Mn at (0.0000, 0.0000, 0.5000), Zn at (0.0103, 0.5052, 0.8610), Zn at (0.0346, 0.5173, 0.3103) and Ni at (0.0000, 0.5000, 0.0000).

Its formation energy is 249 meV per atom. The density of states at the Fermi level is 0.51 states/eV/atom. The calculation puts the volume at 1068.5 Å³/cell.

[10]
Material: Re3Os
Method: DFT, PBE-GGA
State: relaxed

The space group is Pm-3n (No. 223) and the conventional cell measures 4.938, 4.938 and 4.938 Å, with angles of 90.00, 90.00 and 90.00 degrees. Symmetry generates all atoms from Re at (0.000, 0.250, 0.500) and Os at (0.000, 0.000, 0.000).

Its formation energy is 217 meV per atom. The density of states at the Fermi level is 0.65 states/eV/atom. The calculation puts the volume at 120.4 Å³/cell.

[11]
Material: HfGePb2O6
Method: DFT, PBE-GGA
State: relaxed

The space group is P4mm (No. 99) and the conventional cell measures 5.482, 5.482 and 4.618 Å, with angles of 90.00, 90.00 and 90.00 degrees. Symmetry generates all atoms from Hf at (0.000, 0.000, 0.000), Ge at (0.500, 0.500, 0.994), Pb at (0.000, 0.500, 0.460), O at (0.000, 0.000, 0.577), O at (0.261, 0.261, 0.097) and O at (0.500, 0.500, 0.612).

The density of states at the Fermi level is 0.00 states/eV/atom. The electronic total energy is -7.14 eV/atom. The calculation puts the volume at 138.8 Å³/cell.

[12]
Material: BaMnRh
Method: DFT, PBE-GGA
State: relaxed

The space group is P-1 (No. 2) and the conventional cell measures 4.426, 4.978 and 8.448 Å, with angles of 84.72, 89.96 and 89.97 degrees. Symmetry generates all atoms from Ba at (0.249, 0.276, 0.301), Mn at (0.250, 0.155, 0.910) and Rh at (0.250, 0.661, 0.981).

Its formation energy is 30 meV per atom. The density of states at the Fermi level is 0.75 states/eV/atom. The calculation puts the volume at 185.4 Å³/cell.